The following is a DFT calculation (PBE+U) of a relaxed CdIn4NiO8 crystal.

Geometry as CIF:
```
data_CdIn4NiO8
_cell_length_a 6.5268
_cell_length_b 6.5268
_cell_length_c 15.5858
_cell_angle_alpha 90.00
_cell_angle_beta 90.00
_cell_angle_gamma 120.00
_space_group_name_H-M_alt 'R 3 m'
_space_group_IT_number 160
_space_group_name_Hall 'R 3 -2"'
loop_
_atom_site_label
_atom_site_fract_x
_atom_site_fract_y
_atom_site_fract_z
_atom_site_occupancy
Cd1 0.0000 0.0000 0.0000 1
In1 0.0000 0.0000 0.7583 1
In2 0.0043 0.5021 0.8804 1
Ni1 0.0000 0.0000 0.3775 1
O1 0.0000 0.0000 0.1405 1
O2 0.0000 0.0000 0.6222 1
O3 0.0270 0.5135 0.1320 1
O4 0.1869 0.3738 0.9616 1
```

## Properties
raw total energy	-5.278	eV/atom